Entry from Alexandria via LeMat-Bulk: an optimized crystal structure of TmCdNiPd (PBE).

Output
space-group type: F-43m

Cell and atoms, written as POSCAR:
```
TmCdNiPd
1.0
4.670 0.000 0.000
2.335 4.045 0.000
2.335 1.348 3.813
Pd Tm Cd Ni
1 1 1 1
direct
0.000 0.000 0.000
0.250 0.250 0.250
0.750 0.750 0.750
0.500 0.500 0.500
```


Entry from Alexandria via LeMat-Bulk: an optimized crystal structure of TbAl11Fe (PBE).

Output
space-group type: C2/m

Cell and atoms, written as POSCAR:
```
TbAl11Fe
1.0
-1.269 -1.622 4.717
1.713 -6.882 0.652
5.053 0.803 4.443
Al Tb Fe
11 1 1
direct
0.285 0.231 0.215
0.500 0.769 0.215
0.500 0.000 0.500
0.500 0.231 0.785
0.978 0.362 0.657
0.022 0.638 0.343
0.715 0.769 0.785
0.000 0.500 0.000
0.366 0.638 0.657
0.000 0.000 0.500
0.634 0.362 0.343
0.000 0.000 0.000
0.500 0.500 0.000
```


What are the calculated formation energy values for these records? In order: -500.7 -187.8 meV per atom.